(1)
# K2W (PBE, relaxed)
# **DFT total energy**: -3.50 eV/atom
# **Total magnetization**: 0.0 μB/f.u.
# **Offset from the most stable computed form**: 544 meV/atom
# **ΔE_f**: 149.5 kJ/mol of atoms
data_K2W
_symmetry_space_group_name_H-M 'P 63/m m c'
_symmetry_Int_Tables_number 194
_symmetry_space_group_name_Hall '-P 6c 2c'
_cell_length_a 7.6573
_cell_length_b 7.6573
_cell_length_c 9.7208
_cell_angle_alpha 90.00
_cell_angle_beta 90.00
_cell_angle_gamma 120.00
loop_
_atom_site_label
_atom_site_fract_x
_atom_site_fract_y
_atom_site_fract_z
_atom_site_occupancy
K1 0.0000 0.0000 0.0000 1
K2 0.1880 0.3760 0.2500 1
W1 0.3333 0.6667 0.6411 1

=====

(2)
# K2W (PBE, relaxed)
# **DFT total energy**: -4.03 eV/atom
# **Total magnetization**: 0.0 μB/f.u.
# **Offset from the most stable computed form**: 15 meV/atom
# **ΔE_f**: 98.4 kJ/mol of atoms
data_K2W
_symmetry_space_group_name_H-M 'C 1 m 1'
_symmetry_Int_Tables_number 8
_cell_length_a 13.788
_cell_length_b 3.366
_cell_length_c 10.992
_cell_angle_alpha 90.00
_cell_angle_beta 102.26
_cell_angle_gamma 90.00
loop_
_symmetry_equiv_pos_as_xyz
'x,y,z'
'x,-y,z'
'x+1/2,y+1/2,z'
'x+1/2,-y+1/2,z'
loop_
_atom_site_label
_atom_site_fract_x
_atom_site_fract_y
_atom_site_fract_z
_atom_site_occupancy
K1 0.000 0.000 0.000 1
K2 0.073 0.000 0.466 1
K3 0.280 0.500 0.224 1
K4 0.354 0.000 0.667 1
W1 0.146 0.500 0.782 1
W2 0.233 0.000 0.916 1

=====

(3)
# K2W (PBE, relaxed)
# **DFT total energy**: -3.05 eV/atom
# **Total magnetization**: 5.3 μB/f.u.
# **Offset from the most stable computed form**: 990 meV/atom
# **ΔE_f**: 192.5 kJ/mol of atoms
data_K2W
_symmetry_space_group_name_H-M 'P 63/m m c'
_symmetry_Int_Tables_number 194
_symmetry_space_group_name_Hall '-P 6c 2c'
_cell_length_a 6.2485
_cell_length_b 6.2485
_cell_length_c 7.7600
_cell_angle_alpha 90.00
_cell_angle_beta 90.00
_cell_angle_gamma 120.00
loop_
_atom_site_label
_atom_site_fract_x
_atom_site_fract_y
_atom_site_fract_z
_atom_site_occupancy
K1 0.0000 0.0000 0.0000 1
K2 0.3333 0.6667 0.2500 1
W1 0.3333 0.6667 0.7500 1

=====

(4)
# K2W (PBE, relaxed)
# **DFT total energy**: -3.26 eV/atom
# **Total magnetization**: 2.8 μB/f.u.
# **Offset from the most stable computed form**: 785 meV/atom
# **ΔE_f**: 172.8 kJ/mol of atoms
data_K2W
_symmetry_space_group_name_H-M 'P n n m'
_symmetry_Int_Tables_number 58
_cell_length_a 9.082
_cell_length_b 9.168
_cell_length_c 2.823
_cell_angle_alpha 90.00
_cell_angle_beta 90.00
_cell_angle_gamma 90.00
loop_
_symmetry_equiv_pos_as_xyz
'x,y,z'
'-x,-y,-z'
'-x,-y,z'
'x,y,-z'
'x+1/2,-y+1/2,-z+1/2'
'-x+1/2,y+1/2,z+1/2'
'-x+1/2,y+1/2,-z+1/2'
'x+1/2,-y+1/2,z+1/2'
loop_
_atom_site_label
_atom_site_fract_x
_atom_site_fract_y
_atom_site_fract_z
_atom_site_occupancy
K1 0.193 0.188 0.000 1
W1 0.000 0.500 0.000 1

=====

(5)
# K2W (PBE, relaxed)
# **DFT total energy**: -3.82 eV/atom
# **Total magnetization**: 0.0 μB/f.u.
# **Offset from the most stable computed form**: 223 meV/atom
# **ΔE_f**: 118.6 kJ/mol of atoms
data_K2W
_symmetry_space_group_name_H-M 'C 1 2/m 1'
_symmetry_Int_Tables_number 12
_cell_length_a 20.855
_cell_length_b 2.936
_cell_length_c 7.973
_cell_angle_alpha 90.00
_cell_angle_beta 111.45
_cell_angle_gamma 90.00
loop_
_symmetry_equiv_pos_as_xyz
'x,y,z'
'-x,-y,-z'
'-x,y,-z'
'x,-y,z'
'x+1/2,y+1/2,z'
'-x+1/2,-y+1/2,-z'
'-x+1/2,y+1/2,-z'
'x+1/2,-y+1/2,z'
loop_
_atom_site_label
_atom_site_fract_x
_atom_site_fract_y
_atom_site_fract_z
_atom_site_occupancy
K1 0.103 0.000 0.099 1
K2 0.161 0.000 0.655 1
W1 0.000 0.500 0.356 1

=====

(6)
# KW3 (PBE, relaxed)
# **DFT total energy**: -8.66 eV/atom
# **Total magnetization**: 0.0 μB/f.u.
# **Offset from the most stable computed form**: 311 meV/atom
# **ΔE_f**: 128.2 kJ/mol of atoms
data_KW3
_symmetry_space_group_name_H-M 'P 63/m m c'
_symmetry_Int_Tables_number 194
_symmetry_space_group_name_Hall '-P 6c 2c'
_cell_length_a 8.1455
_cell_length_b 8.1455
_cell_length_c 4.3092
_cell_angle_alpha 90.00
_cell_angle_beta 90.00
_cell_angle_gamma 120.00
loop_
_atom_site_label
_atom_site_fract_x
_atom_site_fract_y
_atom_site_fract_z
_atom_site_occupancy
K1 0.3333 0.6667 0.2500 1
W1 0.1074 0.2148 0.7500 1

=====

(7)
# K2W (PBE, relaxed)
# **DFT total energy**: -3.32 eV/atom
# **Total magnetization**: 2.4 μB/f.u.
# **Offset from the most stable computed form**: 721 meV/atom
# **ΔE_f**: 166.6 kJ/mol of atoms
data_K2W
_symmetry_space_group_name_H-M 'P -6 2 m'
_symmetry_Int_Tables_number 189
_symmetry_space_group_name_Hall 'P -6 -2'
_cell_length_a 10.7315
_cell_length_b 10.7315
_cell_length_c 2.7947
_cell_angle_alpha 90.00
_cell_angle_beta 90.00
_cell_angle_gamma 120.00
loop_
_atom_site_label
_atom_site_fract_x
_atom_site_fract_y
_atom_site_fract_z
_atom_site_occupancy
K1 0.0000 0.3244 0.0000 1
K2 0.0000 0.6579 0.5000 1
W1 0.0000 0.0000 0.5000 1
W2 0.3333 0.6667 0.0000 1

=====

(8)
# K5W (PBE, relaxed)
# **DFT total energy**: -2.07 eV/atom
# **Total magnetization**: 5.0 μB/f.u.
# **Offset from the most stable computed form**: 3 meV/atom
# **ΔE_f**: 96.4 kJ/mol of atoms
data_K5W
_symmetry_space_group_name_H-M 'P 4/m m m'
_symmetry_Int_Tables_number 123
_symmetry_space_group_name_Hall '-P 4 2'
_cell_length_a 4.368
_cell_length_b 4.368
_cell_length_c 18.220
_cell_angle_alpha 90.00
_cell_angle_beta 90.00
_cell_angle_gamma 90.00
loop_
_atom_site_label
_atom_site_fract_x
_atom_site_fract_y
_atom_site_fract_z
_atom_site_occupancy
K1 0.000 0.000 0.000 1
K2 0.000 0.000 0.388 1
K3 0.500 0.500 0.196 1
W1 0.500 0.500 0.500 1

=====

(9)
# K2W3 (PBE, relaxed)
# **DFT total energy**: -5.84 eV/atom
# **Total magnetization**: 4.2 μB/f.u.
# **Offset from the most stable computed form**: 955 meV/atom
# **ΔE_f**: 228.8 kJ/mol of atoms
data_K2W3
_symmetry_space_group_name_H-M 'R -3 m'
_symmetry_Int_Tables_number 166
_symmetry_space_group_name_Hall '-R 3 2"'
_cell_length_a 4.1495
_cell_length_b 4.1495
_cell_length_c 34.6376
_cell_angle_alpha 90.00
_cell_angle_beta 90.00
_cell_angle_gamma 120.00
loop_
_atom_site_label
_atom_site_fract_x
_atom_site_fract_y
_atom_site_fract_z
_atom_site_occupancy
K1 0.0000 0.0000 0.0834 1
W1 0.0000 0.0000 0.3334 1
W2 0.0000 0.0000 0.5000 1

=====

(10)
# KW3 (PBE, relaxed)
# **DFT total energy**: -8.88 eV/atom
# **Total magnetization**: 0.0 μB/f.u.
# **Offset from the most stable computed form**: 87 meV/atom
# **ΔE_f**: 106.6 kJ/mol of atoms
data_KW3
_symmetry_space_group_name_H-M 'P 4/m m m'
_symmetry_Int_Tables_number 123
_symmetry_space_group_name_Hall '-P 4 2'
_cell_length_a 3.086
_cell_length_b 3.086
_cell_length_c 9.416
_cell_angle_alpha 90.00
_cell_angle_beta 90.00
_cell_angle_gamma 90.00
loop_
_atom_site_label
_atom_site_fract_x
_atom_site_fract_y
_atom_site_fract_z
_atom_site_occupancy
K1 0.000 0.000 0.000 1
W1 0.000 0.000 0.500 1
W2 0.500 0.500 0.333 1

=====

(11)
# KW3 (PBE, relaxed)
# **DFT total energy**: -7.81 eV/atom
# **Total magnetization**: 0.0 μB/f.u.
# **Offset from the most stable computed form**: 1159 meV/atom
# **ΔE_f**: 210.0 kJ/mol of atoms
data_KW3
_symmetry_space_group_name_H-M 'P m -3 m'
_symmetry_Int_Tables_number 221
_symmetry_space_group_name_Hall '-P 4 2 3'
_cell_length_a 4.217
_cell_length_b 4.217
_cell_length_c 4.217
_cell_angle_alpha 90.00
_cell_angle_beta 90.00
_cell_angle_gamma 90.00
loop_
_atom_site_label
_atom_site_fract_x
_atom_site_fract_y
_atom_site_fract_z
_atom_site_occupancy
K1 0.000 0.000 0.000 1
W1 0.000 0.500 0.500 1

=====

(12)
# KW3 (PBE, relaxed)
# **DFT total energy**: -7.93 eV/atom
# **Total magnetization**: 0.0 μB/f.u.
# **Offset from the most stable computed form**: 1045 meV/atom
# **ΔE_f**: 199.0 kJ/mol of atoms
data_KW3
_symmetry_space_group_name_H-M 'P m -3 n'
_symmetry_Int_Tables_number 223
_symmetry_space_group_name_Hall '-P 4n 2 3'
_cell_length_a 5.258
_cell_length_b 5.258
_cell_length_c 5.258
_cell_angle_alpha 90.00
_cell_angle_beta 90.00
_cell_angle_gamma 90.00
loop_
_atom_site_label
_atom_site_fract_x
_atom_site_fract_y
_atom_site_fract_z
_atom_site_occupancy
K1 0.000 0.000 0.000 1
W1 0.000 0.250 0.500 1

=====

(13)
# K4W (PBE, relaxed)
# **DFT total energy**: -2.23 eV/atom
# **Total magnetization**: 5.2 μB/f.u.
# **Offset from the most stable computed form**: 0 meV/atom
# **ΔE_f**: 119.1 kJ/mol of atoms
data_K4W
_symmetry_space_group_name_H-M 'I m -3 m'
_symmetry_Int_Tables_number 229
_symmetry_space_group_name_Hall '-I 4 2 3'
_cell_length_a 8.505
_cell_length_b 8.505
_cell_length_c 8.505
_cell_angle_alpha 90.00
_cell_angle_beta 90.00
_cell_angle_gamma 90.00
loop_
_atom_site_label
_atom_site_fract_x
_atom_site_fract_y
_atom_site_fract_z
_atom_site_occupancy
K1 0.250 0.250 0.250 1
W1 0.000 0.000 0.000 1